[1]
LiAs2PtSe | PBE-GGA | relaxed

abc: 4.819 4.819 5.501
angles: 90.00 90.00 90.00
Fractional coordinates of all 5 atoms:
As 0.000 0.500 0.000
As 0.500 0.000 0.000
Se 0.000 0.000 0.500
Pt 0.000 0.000 0.000
Li 0.500 0.500 0.500


[2]
Pr2PaO | PBE-GGA | relaxed

abc: 3.399 3.399 9.929
angles: 80.14 80.14 60.00
Fractional coordinates of all 4 atoms:
Pr 0.113 0.113 0.662
Pr 0.887 0.887 0.338
Pa 0.000 0.000 0.000
O 0.500 0.500 0.500


For each record above, in turn, the calculated total moment values are 0.000, 0.002 Bohr magnetons per cell.
For each record above, in turn, the calculated energy values are -19.67, -27.60 eV/cell.